Entry 1:
BaLiIN2: relaxed, PBE-GGA.

It has space group P4/mmm (No. 123), with a = 4.815 Å, b = 4.815 Å, c = 7.287 Å, α = 90.00°, β = 90.00° and γ = 90.00°. The distinct sites, in fractional coordinates, are Ba at (0.000, 0.000, 0.000), Li at (0.500, 0.500, 0.500), I at (0.000, 0.000, 0.500) and N at (0.000, 0.500, 0.000).

The value obtained for the raw formation energy is 86 kJ per mole of atoms. As for the energy relative to the lowest polymorph listed for this composition: 260 meV/atom.

---

Entry 2:
Cs12K6Pb: relaxed, PBE-GGA.

It has space group R-3 (No. 148, hexagonal axes), with a = 15.4264 Å, b = 15.4264 Å, c = 25.7118 Å, α = 90.00°, β = 90.00° and γ = 120.00°. The distinct sites, in fractional coordinates, are Cs at (0.1011, 0.5522, 0.2515), Cs at (0.1098, 0.5539, 0.5752), K at (0.1073, 0.2141, 0.2580) and Pb at (0.0000, 0.0000, 0.0000).

The value obtained for the total DFT energy (no corrections) is -1.0815 eV/atom.

---

Entry 3:
RbY2ZrGe: relaxed, PBE-GGA.

It has space group P4/mmm (No. 123), with a = 5.297 Å, b = 5.297 Å, c = 5.443 Å, α = 90.00°, β = 90.00° and γ = 90.00°. The distinct sites, in fractional coordinates, are Rb at (0.000, 0.000, 0.000), Y at (0.000, 0.500, 0.000), Zr at (0.500, 0.500, 0.500) and Ge at (0.000, 0.000, 0.500).

The value obtained for the total DFT energy (no corrections) is -3.8630 eV/atom.

---

Entry 4:
Ho2MgNi4Ge3: relaxed, PBE-GGA.

It has space group P-4m2 (No. 115), with a = 4.049 Å, b = 4.049 Å, c = 10.007 Å, α = 90.00°, β = 90.00° and γ = 90.00°. The distinct sites, in fractional coordinates, are Ho at (0.000, 0.500, 0.239), Mg at (0.000, 0.000, 0.500), Ni at (0.000, 0.000, 0.000), Ni at (0.000, 0.500, 0.643), Ni at (0.500, 0.500, 0.000), Ge at (0.000, 0.500, 0.873) and Ge at (0.500, 0.500, 0.500).

The value obtained for the total DFT energy (no corrections) is -5.3799 eV/atom.

---

Entry 5:
La8Ge2Ir: relaxed, PBE-GGA.

It has space group Cm (No. 8), with a = 8.477 Å, b = 15.435 Å, c = 6.664 Å, α = 90.00°, β = 128.09° and γ = 90.00°. The distinct sites, in fractional coordinates, are La at (0.000, 0.000, 0.000), La at (0.003, 0.384, 0.390), La at (0.027, 0.197, 0.745), La at (0.197, 0.369, 0.080), La at (0.209, 0.000, 0.626), Ge at (0.124, 0.198, 0.319) and Ir at (0.329, 0.500, 0.480).

As for the energy relative to the lowest polymorph listed for this composition: 40 meV/atom.

---

Entry 6:
Ce2TeCl4: relaxed, PBE-GGA.

It has space group P4_2/mnm (No. 136), with a = 9.194 Å, b = 9.194 Å, c = 4.326 Å, α = 90.00°, β = 90.00° and γ = 90.00°. The distinct sites, in fractional coordinates, are Ce at (0.198, 0.198, 0.000), Te at (0.000, 0.000, 0.500) and Cl at (0.096, 0.664, 0.000).

The value obtained for the raw formation energy is -185 kJ per mole of atoms.

---

Entry 7:
Ho2HfRh3: relaxed, PBE-GGA.

It has space group P-3m1 (No. 164), with a = 4.7355 Å, b = 4.7355 Å, c = 5.8709 Å, α = 90.00°, β = 90.00° and γ = 120.00°. The distinct sites, in fractional coordinates, are Ho at (0.3333, 0.6667, 0.1657), Hf at (0.0000, 0.0000, 0.5000), Rh at (0.0000, 0.0000, 0.0000) and Rh at (0.3333, 0.6667, 0.6451).

The value obtained for the total DFT energy (no corrections) is -7.7427 eV/atom.

---

Entry 8:
Sr2LiAs: relaxed, PBE-GGA.

It has space group F-43m (No. 216), with a = 7.895 Å, b = 7.895 Å, c = 7.895 Å, α = 90.00°, β = 90.00° and γ = 90.00°. The distinct sites, in fractional coordinates, are Sr at (0.000, 0.000, 0.000), Sr at (0.250, 0.250, 0.250), Li at (0.250, 0.250, 0.750) and As at (0.000, 0.000, 0.500).

The value obtained for the total DFT energy (no corrections) is -2.5917 eV/atom.